# Li2MnNiO4 (PBE with a Hubbard U, optimized geometry)
data_Li2MnNiO4
_chemical_formula_sum 'Li2 Mn1 Ni1 O4'
_symmetry_space_group_name_H-M 'P 1 2/m 1'
_symmetry_Int_Tables_number 10
_cell_length_a 5.091
_cell_length_b 2.920
_cell_length_c 5.102
_cell_angle_alpha 90.00
_cell_angle_beta 108.98
_cell_angle_gamma 90.00
loop_
_symmetry_equiv_pos_as_xyz
'x,y,z'
'-x,-y,-z'
'-x,y,-z'
'x,-y,z'
loop_
_atom_site_label
_atom_site_type_symbol
_atom_site_fract_x
_atom_site_fract_y
_atom_site_fract_z
Li1 Li 0.000 0.000 0.000
Li2 Li 0.000 0.500 0.500
Mn1 Mn 0.500 0.000 0.500
Ni1 Ni 0.500 0.500 0.000
O1 O 0.272 0.000 0.738
O2 O 0.275 0.500 0.278
# Energy relative to the lowest polymorph listed for this composition (kJ/mol of atoms): 0.04
# N(E_F) (states/eV per atom): 0.015
# Total energy (eV per formula unit): -46.5
# Magnetic moment (μB/f.u.): 5.00